Entry 1:
## ThNiPH (PBE)

Data for crystalline ThNiPH at its relaxed geometry.

Cell lengths 4.0014, 4.0014, 7.1767 Å; angles 90.00, 90.00, 90.00 degrees
Positions (direct):
Th  0.2500  0.2500  0.1876
Th  0.7500  0.7500  0.8124
Ni  0.2500  0.7500  0.5000
Ni  0.7500  0.2500  0.5000
P  0.2500  0.2500  0.6739
P  0.7500  0.7500  0.3261
H  0.2500  0.7500  0.0000
H  0.7500  0.2500  0.0000

total energy	-6.44	eV per atom
magnetization	0.00	μB per cell

Entry 2:
## TiNiPH (PBE)

Data for crystalline TiNiPH at its relaxed geometry.

Cell lengths 3.5612, 3.5612, 6.3556 Å; angles 90.00, 90.00, 90.00 degrees
Positions (direct):
Ti  0.2500  0.2500  0.1380
Ti  0.7500  0.7500  0.8620
Ni  0.2500  0.7500  0.5000
Ni  0.7500  0.2500  0.5000
P  0.2500  0.2500  0.7157
P  0.7500  0.7500  0.2843
H  0.2500  0.7500  0.0000
H  0.7500  0.2500  0.0000

total energy	-6.29	eV per atom
magnetization	0.00	μB per cell

Entry 3:
## TiNi2PH (PBE)

Data for crystalline TiNi2PH at its relaxed geometry.

Cell lengths 4.3900, 4.3900, 3.0871 Å; angles 90.00, 90.00, 90.00 degrees
Positions (direct):
Ti  0.0000  0.0000  0.0000
Ni  0.0000  0.5000  0.5000
Ni  0.5000  0.0000  0.5000
P  0.5000  0.5000  0.5000
H  0.5000  0.5000  0.0000

magnetization	0.00	μB per cell
E above lowest polymorph	580	meV per atom